# 1
# Ce2DyTc9 (GGA-PBE, relaxed)
# **Formation energy**: -0.0037 eV/atom
# **DFT total energy**: -9.151 eV per atom
data_Ce2DyTc9
_chemical_formula_sum 'Ce4 Dy2 Tc18'
_space_group_name_H-M_alt 'C 1 2/m 1'
_space_group_IT_number 12
_cell_length_a 9.158
_cell_length_b 5.186
_cell_length_c 9.738
_cell_angle_alpha 90.00
_cell_angle_beta 109.90
_cell_angle_gamma 90.00
loop_
_space_group_symop_operation_xyz
'x,y,z'
'-x,-y,-z'
'-x,y,-z'
'x,-y,z'
'x+1/2,y+1/2,z'
'-x+1/2,-y+1/2,-z'
'-x+1/2,y+1/2,-z'
'x+1/2,-y+1/2,z'
loop_
_atom_site_label
_atom_site_type_symbol
_atom_site_fract_x
_atom_site_fract_y
_atom_site_fract_z
Ce1 Ce 0.150 0.000 0.441
Dy1 Dy 0.000 0.000 0.000
Tc1 Tc 0.000 0.500 0.500
Tc2 Tc 0.084 0.500 0.240
Tc3 Tc 0.168 0.247 0.755
Tc4 Tc 0.172 0.500 0.992

---

# 2
# GaSnICl4 (GGA-PBE, relaxed)
# **ΔE_f (raw)**: -0.969 eV/atom
# **DFT total energy**: -3.250 eV per atom
data_GaSnICl4
_chemical_formula_sum 'Ga4 Sn4 I4 Cl16'
_space_group_name_H-M_alt 'C 1 2/m 1'
_space_group_IT_number 12
_cell_length_a 12.691
_cell_length_b 9.248
_cell_length_c 10.405
_cell_angle_alpha 90.00
_cell_angle_beta 117.72
_cell_angle_gamma 90.00
loop_
_space_group_symop_operation_xyz
'x,y,z'
'-x,-y,-z'
'-x,y,-z'
'x,-y,z'
'x+1/2,y+1/2,z'
'-x+1/2,-y+1/2,-z'
'-x+1/2,y+1/2,-z'
'x+1/2,-y+1/2,z'
loop_
_atom_site_label
_atom_site_type_symbol
_atom_site_fract_x
_atom_site_fract_y
_atom_site_fract_z
Ga1 Ga 0.153 0.000 0.340
Sn1 Sn 0.074 0.500 0.236
I1 I 0.175 0.500 0.034
Cl1 Cl 0.043 0.186 0.211
Cl2 Cl 0.163 0.000 0.558
Cl3 Cl 0.165 0.500 0.631

---

# 3
# Ba2Na5Tl5 (GGA-PBE, relaxed)
# **Formation energy**: -0.1727 eV/atom
# **DFT total energy**: -2.029 eV per atom
data_Ba2Na5Tl5
_chemical_formula_sum 'Ba2 Na5 Tl5'
_space_group_name_H-M_alt 'P m m m'
_space_group_IT_number 47
_cell_length_a 5.511
_cell_length_b 6.342
_cell_length_c 11.600
_cell_angle_alpha 90.00
_cell_angle_beta 90.00
_cell_angle_gamma 90.00
loop_
_space_group_symop_operation_xyz
'x,y,z'
'-x,-y,-z'
'-x,-y,z'
'x,y,-z'
'x,-y,-z'
'-x,y,z'
'-x,y,-z'
'x,-y,z'
loop_
_atom_site_label
_atom_site_type_symbol
_atom_site_fract_x
_atom_site_fract_y
_atom_site_fract_z
Ba1 Ba 0.000 0.000 0.000
Ba2 Ba 0.000 0.500 0.500
Na1 Na 0.500 0.000 0.500
Na2 Na 0.500 0.248 0.242
Tl1 Tl 0.000 0.000 0.335
Tl2 Tl 0.000 0.500 0.173
Tl3 Tl 0.500 0.500 0.000

---

# 4
# BaCeNi2Sb2 (GGA-PBE, relaxed)
# **ΔE_f (raw)**: -0.743 eV/atom
# **DFT total energy**: -5.353 eV per atom
data_BaCeNi2Sb2
_chemical_formula_sum 'Ba1 Ce1 Ni2 Sb2'
_space_group_name_H-M_alt 'P -3 m 1'
_space_group_IT_number 164
_space_group_name_Hall '-P 3 2"'
_cell_length_a 4.4341
_cell_length_b 4.4341
_cell_length_c 8.8631
_cell_angle_alpha 90.00
_cell_angle_beta 90.00
_cell_angle_gamma 120.00
loop_
_atom_site_label
_atom_site_type_symbol
_atom_site_fract_x
_atom_site_fract_y
_atom_site_fract_z
Ba1 Ba 0.0000 0.0000 0.0000
Ce1 Ce 0.0000 0.0000 0.5000
Ni1 Ni 0.3333 0.6667 0.3107
Sb1 Sb 0.3333 0.6667 0.7247

---

# 5
# LiCuMo (GGA-PBE, relaxed)
# **Formation energy**: 0.2324 eV/atom
# **DFT total energy**: -5.381 eV per atom
# **Distance to the lowest polymorph of the same formula**: 0.073 eV/atom
data_LiCuMo
_chemical_formula_sum 'Li2 Cu2 Mo2'
_space_group_name_H-M_alt 'P 1 2/m 1'
_space_group_IT_number 10
_cell_length_a 2.525
_cell_length_b 4.555
_cell_length_c 7.337
_cell_angle_alpha 90.00
_cell_angle_beta 91.90
_cell_angle_gamma 90.00
loop_
_space_group_symop_operation_xyz
'x,y,z'
'-x,-y,-z'
'-x,y,-z'
'x,-y,z'
loop_
_atom_site_label
_atom_site_type_symbol
_atom_site_fract_x
_atom_site_fract_y
_atom_site_fract_z
Li1 Li 0.232 0.000 0.165
Cu1 Cu 0.000 0.000 0.500
Cu2 Cu 0.000 0.500 0.000
Mo1 Mo 0.404 0.500 0.663

---

# 6
# Pm5Sm2Dy4 (GGA-PBE, relaxed)
# **Formation energy**: 0.1923 eV/atom
# **DFT total energy**: -4.499 eV per atom
# **Distance to the lowest polymorph of the same formula**: 0.121 eV/atom
data_Pm5Sm2Dy4
_chemical_formula_sum 'Pm10 Sm4 Dy8'
_space_group_name_H-M_alt 'I m m m'
_space_group_IT_number 71
_space_group_name_Hall '-I 2 2'
_cell_length_a 3.533
_cell_length_b 9.172
_cell_length_c 23.514
_cell_angle_alpha 90.00
_cell_angle_beta 90.00
_cell_angle_gamma 90.00
loop_
_atom_site_label
_atom_site_type_symbol
_atom_site_fract_x
_atom_site_fract_y
_atom_site_fract_z
Pm1 Pm 0.000 0.000 0.000
Pm2 Pm 0.000 0.301 0.355
Sm1 Sm 0.000 0.500 0.231
Dy1 Dy 0.000 0.189 0.500
Dy2 Dy 0.000 0.500 0.097

---

# 7
# GeS2Br (GGA-PBE, relaxed)
# **ΔE_f (raw)**: 0.165 eV/atom
# **DFT total energy**: -3.471 eV per atom
# **Distance to the lowest polymorph of the same formula**: 0.306 eV/atom
data_GeS2Br
_chemical_formula_sum 'Ge4 S8 Br4'
_space_group_name_H-M_alt 'I -4 2 d'
_space_group_IT_number 122
_space_group_name_Hall 'I -4 2bw'
_cell_length_a 6.929
_cell_length_b 6.929
_cell_length_c 8.324
_cell_angle_alpha 90.00
_cell_angle_beta 90.00
_cell_angle_gamma 90.00
loop_
_atom_site_label
_atom_site_type_symbol
_atom_site_fract_x
_atom_site_fract_y
_atom_site_fract_z
Ge1 Ge 0.000 0.000 0.000
S1 S 0.161 0.250 0.125
Br1 Br 0.000 0.000 0.500

---

# 8
# Nd5UCo4 (GGA-PBE, relaxed)
# **Formation energy**: -0.1227 eV/atom
# **DFT total energy**: -6.478 eV per atom
data_Nd5UCo4
_chemical_formula_sum 'Nd10 U2 Co8'
_space_group_name_H-M_alt 'C 1 2/m 1'
_space_group_IT_number 12
_cell_length_a 17.969
_cell_length_b 4.090
_cell_length_c 7.246
_cell_angle_alpha 90.00
_cell_angle_beta 112.48
_cell_angle_gamma 90.00
loop_
_space_group_symop_operation_xyz
'x,y,z'
'-x,-y,-z'
'-x,y,-z'
'x,-y,z'
'x+1/2,y+1/2,z'
'-x+1/2,-y+1/2,-z'
'-x+1/2,y+1/2,-z'
'x+1/2,-y+1/2,z'
loop_
_atom_site_label
_atom_site_type_symbol
_atom_site_fract_x
_atom_site_fract_y
_atom_site_fract_z
Nd1 Nd 0.000 0.000 0.000
Nd2 Nd 0.156 0.500 0.772
Nd3 Nd 0.180 0.500 0.293
U1 U 0.000 0.000 0.500
Co1 Co 0.019 0.500 0.330
Co2 Co 0.126 0.000 0.471